TmHg2F4: relaxed, PBE.

Cell: 4.249 4.249 10.005 Å, 77.74 77.74 90.00°
Element x y z (fractional)
1 Tm 0.000 0.000 0.000
2 Hg 0.767 0.767 0.466
3 Hg 0.233 0.233 0.534
4 F 0.888 0.888 0.225
5 F 0.112 0.112 0.775
6 F 0.000 0.500 0.000
7 F 0.500 0.000 0.000

## Properties
The calculation puts the density at 6228 kg/m3. Its total energy is -31.1 eV/f.u. The calculation puts the uncorrected formation energy at -2.6415 eV/atom. The calculation puts the density of states at the Fermi level at 1.161 states/eV per cell.

HRhPb3: relaxed, PBE.

Cell: 4.737 4.737 4.737 Å, 90.00 90.00 90.00°
Element x y z (fractional)
1 Pb 0.000 0.500 0.000
2 Pb 0.000 0.000 0.500
3 Pb 0.500 0.000 0.000
4 H 0.000 0.000 0.000
5 Rh 0.500 0.500 0.500

## Properties
The calculation puts the density at 11337 kg/m3. Its total energy is -19.7 eV/f.u. The calculation puts the density of states at the Fermi level at 3.650 states/eV per cell.

Look up the total energy of the first one.
-31.1 eV/f.u.

Which value of density does entry 1 give?
6228 kg/m3

What is the formula in the first record?
TmHg2F4